Compound: Fe3Rh2
Source: Alexandria via LeMat-Bulk
Functional: meta-GGA SCAN
Structure: single point on PBEsol structure

Its relative energy among the computed polymorphs is 0.065 eV/atom. The formation energy is -0.05 eV/atom.

It has space group Immm (No. 71), with a = 2.6286 Å, b = 3.5395 Å, c = 13.0889 Å, α = 90.00°, β = 90.00° and γ = 90.00°. The distinct sites, in fractional coordinates, are Fe at (0.0000, 0.0000, 0.0000), Fe at (0.0000, 0.0000, 0.4027) and Rh at (0.0000, 0.0000, 0.1942).

Compound: FeRh
Source: Alexandria via LeMat-Bulk
Functional: meta-GGA SCAN
Structure: single point on PBEsol structure

The formation energy is -0.17 eV/atom.

It has space group Imma (No. 74), with a = 2.8576 Å, b = 4.2017 Å, c = 8.4218 Å, α = 90.00°, β = 90.00° and γ = 90.00°. The distinct sites, in fractional coordinates, are Fe at (0.0000, 0.2500, 0.1358) and Rh at (0.0000, 0.2500, 0.6137).

Compound: FeRh2
Source: Alexandria via LeMat-Bulk
Functional: meta-GGA SCAN
Structure: single point on PBEsol structure

The formation energy is -0.09 eV/atom.

It has space group Pmmm (No. 47), with a = 2.6499 Å, b = 3.6515 Å, c = 7.9293 Å, α = 90.00°, β = 90.00° and γ = 90.00°. The distinct sites, in fractional coordinates, are Fe at (0.0000, 0.0000, 0.1649), Rh at (0.0000, 0.0000, 0.5000), Rh at (0.5000, 0.5000, 0.0000) and Rh at (0.5000, 0.5000, 0.3268).